[1]
# Ba2Zr2Te (GGA-PBE, optimized geometry)
# Polymorph energy (0 for the lowest one) ... 0.653 eV/atom
data_Ba2Zr2Te
_cell_length_a 4.647
_cell_length_b 4.647
_cell_length_c 16.169
_cell_angle_alpha 90.00
_cell_angle_beta 90.00
_cell_angle_gamma 90.00
_space_group_name_H-M_alt 'I 4/m m m'
_space_group_IT_number 139
_space_group_name_Hall '-I 4 2'
loop_
_atom_site_label
_atom_site_type_symbol
_atom_site_fract_x
_atom_site_fract_y
_atom_site_fract_z
Ba1 Ba 0.000 0.500 0.250
Zr1 Zr 0.000 0.000 0.073
Te1 Te 0.000 0.000 0.500

[2]
# Ba2Zr2Te (GGA-PBE, optimized geometry)
# Polymorph energy (0 for the lowest one) ... 0.000 eV/atom
data_Ba2Zr2Te
_cell_length_a 7.655
_cell_length_b 7.655
_cell_length_c 5.785
_cell_angle_alpha 90.00
_cell_angle_beta 90.00
_cell_angle_gamma 90.00
_space_group_name_H-M_alt 'P 4/m b m'
_space_group_IT_number 127
_space_group_name_Hall '-P 4 2ab'
loop_
_atom_site_label
_atom_site_type_symbol
_atom_site_fract_x
_atom_site_fract_y
_atom_site_fract_z
Ba1 Ba 0.169 0.331 0.000
Zr1 Zr 0.139 0.639 0.500
Te1 Te 0.000 0.000 0.500

[3]
Material: BaZr2Te
Method: DFT, GGA-PBE
State: optimized geometry

CIF file:
```
data_BaZr2Te
_cell_length_a 4.017
_cell_length_b 5.508
_cell_length_c 5.562
_cell_angle_alpha 90.00
_cell_angle_beta 94.48
_cell_angle_gamma 90.00
_space_group_name_H-M_alt 'P 1 2/m 1'
_space_group_IT_number 10
loop_
_space_group_symop_operation_xyz
'x,y,z'
'-x,-y,-z'
'-x,y,-z'
'x,-y,z'
loop_
_atom_site_label
_atom_site_type_symbol
_atom_site_fract_x
_atom_site_fract_y
_atom_site_fract_z
Ba1 Ba 0.000 0.000 0.000
Zr1 Zr 0.401 0.500 0.727
Te1 Te 0.500 0.000 0.500
```

Number 1: size of the total moment 0.0 μB/cell, ΔE_f (raw) 0.701 eV/atom. Number 2: size of the total moment 0.0 μB/cell, ΔE_f (raw) 0.049 eV/atom. Number 3: size of the total moment 0.0 μB/cell, ΔE_f (raw) 0.025 eV/atom.